1.
# Cd2GaPb, relaxed, DFT GGA-PBEsol
# * energy of formation from the pure elements: 116 meV per atom
# * DOS at the Fermi energy: 1.2 states/eV/f.u.
# * total energy: -37.1 eV for the cell shown
# * total magnetic moment: 0.00 μB/f.u.
data_Cd2GaPb
_chemical_formula_sum 'Cd8 Ga4 Pb4'
_symmetry_space_group_name_H-M 'F m -3 m'
_symmetry_Int_Tables_number 225
_symmetry_space_group_name_Hall '-F 4 2 3'
_cell_length_a 7.190
_cell_length_b 7.190
_cell_length_c 7.190
_cell_angle_alpha 90.00
_cell_angle_beta 90.00
_cell_angle_gamma 90.00
loop_
_atom_site_label
_atom_site_fract_x
_atom_site_fract_y
_atom_site_fract_z
Cd1 0.250 0.250 0.250
Ga1 0.000 0.000 0.000
Pb1 0.000 0.000 0.500


2.
# RbNa2Pb2, relaxed, DFT GGA-PBEsol
# * energy of formation from the pure elements: -70 meV per atom
# * distance to the lowest polymorph of the same formula: 30 meV/atom
# * DOS at the Fermi energy: 1.7 states/eV/f.u.
# * total energy: -24.3 eV for the cell shown
# * total magnetic moment: 0.00 μB/f.u.
data_RbNa2Pb2
_chemical_formula_sum 'Rb2 Na4 Pb4'
_symmetry_space_group_name_H-M 'I 4/m m m'
_symmetry_Int_Tables_number 139
_symmetry_space_group_name_Hall '-I 4 2'
_cell_length_a 5.835
_cell_length_b 5.835
_cell_length_c 10.710
_cell_angle_alpha 90.00
_cell_angle_beta 90.00
_cell_angle_gamma 90.00
loop_
_atom_site_label
_atom_site_fract_x
_atom_site_fract_y
_atom_site_fract_z
Rb1 0.000 0.000 0.000
Na1 0.000 0.500 0.250
Pb1 0.000 0.000 0.368


3.
# Ba3TeOs, relaxed, DFT GGA-PBEsol
# * DOS at the Fermi energy: 10.0 states/eV/f.u.
# * total energy: -18.2 eV for the cell shown
# * total magnetic moment: 0.69 μB/f.u.
# * ΔE_f (raw): 0.79 eV/atom
data_Ba3TeOs
_chemical_formula_sum 'Ba3 Te1 Os1'
_symmetry_space_group_name_H-M 'P m -3 m'
_symmetry_Int_Tables_number 221
_symmetry_space_group_name_Hall '-P 4 2 3'
_cell_length_a 6.326
_cell_length_b 6.326
_cell_length_c 6.326
_cell_angle_alpha 90.00
_cell_angle_beta 90.00
_cell_angle_gamma 90.00
loop_
_atom_site_label
_atom_site_fract_x
_atom_site_fract_y
_atom_site_fract_z
Ba1 0.000 0.000 0.500
Te1 0.000 0.000 0.000
Os1 0.500 0.500 0.500